(1)
La8Dy2Sc (PBE, optimized geometry); crystal system = orthorhombic; total energy = -53.8 eV/cell; space group = Immm, No. 71
1.0
5.571 0.000 -1.692
-0.966 7.155 -3.183
-0.083 -0.027 9.746
La Dy Sc
8 2 1
Direct
0.000 0.277 0.000
0.171 0.171 0.341
0.629 0.834 0.257
0.371 0.166 0.743
0.829 0.829 0.659
0.371 0.576 0.743
0.629 0.424 0.257
0.000 0.723 0.000
0.199 0.699 0.399
0.801 0.301 0.601
0.500 0.000 0.000

---

(2)
La12Dy7Sc (PBE, optimized geometry); crystal system = trigonal; total energy = -94.4 eV/cell; space group = R-3, No. 148
1.0
-6.015 -0.380 -2.021
5.514 -4.788 -8.847
-0.610 -6.184 9.643
Dy La Sc
7 12 1
Direct
0.647 0.756 0.756
0.891 0.000 0.244
0.109 0.000 0.756
0.890 0.244 0.000
0.353 0.244 0.244
0.500 0.000 0.000
0.110 0.756 0.000
0.909 0.816 0.408
0.922 0.353 0.353
0.432 0.001 0.353
0.569 0.647 0.001
0.078 0.647 0.647
0.568 0.999 0.647
0.499 0.408 0.592
0.431 0.353 0.999
0.093 0.592 0.184
0.907 0.408 0.816
0.091 0.184 0.592
0.501 0.592 0.408
0.000 0.000 0.000

---

(3)
LaDy2Sc (PBE, optimized geometry); crystal system = trigonal; total energy = -20.3 eV/cell; E above lowest polymorph = 0.0 kJ per mole of atoms; space group = R3m, No. 160
1.0
-3.358 0.356 1.075
-0.763 -0.009 3.460
-0.076 11.398 1.828
La Sc Dy
1 1 2
Direct
0.666 0.666 0.002
0.500 0.500 0.499
0.245 0.245 0.265
0.088 0.088 0.735

---

(4)
LaDy4Sc3 (PBE, optimized geometry); crystal system = monoclinic; total energy = -41.3 eV/cell; space group = C2/m, No. 12
1.0
2.933 -0.918 1.423
-0.220 8.432 1.831
0.553 -2.094 9.630
La Dy Sc
1 4 3
Direct
0.500 0.000 0.000
0.342 0.875 0.397
0.658 0.125 0.603
0.386 0.397 0.875
0.614 0.603 0.125
0.000 0.500 0.500
0.265 0.735 0.735
0.735 0.265 0.265

---

(5)
LaDy2Sc5 (PBE, optimized geometry); crystal system = tetragonal; total energy = -45.3 eV/cell; space group = I4/mmm, No. 139
1.0
-4.225 3.495 3.872
4.519 -3.980 2.967
4.725 3.333 -3.410
Sc Dy La
5 2 1
Direct
0.000 0.778 0.278
0.500 0.278 0.278
0.000 0.278 0.278
0.500 0.778 0.778
0.000 0.278 0.778
0.500 0.278 0.778
0.500 0.778 0.278
0.000 0.778 0.778

---

(6)
La4Dy6Sc (PBE, optimized geometry); crystal system = orthorhombic; total energy = -104.4 eV/cell; space group = Cmcm, No. 63
1.0
5.766 0.000 0.000
-2.883 4.853 0.000
0.000 0.000 25.793
Dy La Sc
12 8 2
Direct
0.478 0.956 0.250
0.500 0.000 0.500
0.859 0.718 0.685
0.807 0.615 0.388
0.807 0.615 0.112
0.141 0.282 0.185
0.141 0.282 0.315
0.522 0.044 0.750
0.859 0.718 0.815
0.500 0.000 0.000
0.193 0.385 0.612
0.193 0.385 0.888
0.535 0.070 0.623
0.845 0.689 0.952
0.155 0.311 0.048
0.465 0.930 0.377
0.155 0.311 0.452
0.465 0.930 0.123
0.535 0.070 0.877
0.845 0.689 0.548
0.813 0.625 0.250
0.187 0.375 0.750

---

(7)
La2Dy12Sc (PBE, optimized geometry); crystal system = orthorhombic; total energy = -138.0 eV/cell; space group = Cmme, No. 67
1.0
6.503 -1.494 0.000
-1.494 6.503 0.000
0.000 0.000 24.634
Dy La Sc
24 4 2
Direct
0.500 0.500 0.326
0.249 0.251 0.437
0.250 0.250 0.073
0.250 0.250 0.927
0.750 0.750 0.927
0.750 0.750 0.073
0.749 0.249 0.415
0.500 0.500 0.194
0.751 0.251 0.585
0.251 0.249 0.563
0.249 0.749 0.585
0.251 0.751 0.415
0.000 0.000 0.806
0.500 0.500 0.674
0.500 0.500 0.806
0.000 0.000 0.194
0.750 0.250 0.120
0.250 0.750 0.880
0.750 0.250 0.880
0.749 0.751 0.563
0.751 0.749 0.437
0.000 0.000 0.674
0.000 0.000 0.326
0.250 0.750 0.120
0.000 0.500 0.735
0.500 0.000 0.265
0.000 0.500 0.265
0.500 0.000 0.735
0.500 0.000 0.000
0.000 0.500 0.000

---

(8)
LaDy7Sc3 (PBE, optimized geometry); crystal system = trigonal; total energy = -53.6 eV/cell; space group = P3m1, No. 156
1.0
8.266 0.000 0.000
0.000 6.981 0.000
0.000 -3.490 6.045
Dy La Sc
7 1 3
Direct
0.104 0.167 0.833
0.462 0.832 0.665
0.462 0.335 0.168
0.116 0.667 0.333
0.104 0.167 0.335
0.104 0.665 0.833
0.462 0.832 0.168
0.445 0.333 0.667
0.785 0.502 0.498
0.785 0.502 0.004
0.785 0.996 0.498

---

(9)
LaDy6Sc3 (PBE, optimized geometry); crystal system = trigonal; total energy = -49.6 eV/cell; space group = R3, No. 146
1.0
8.511 0.000 4.516
3.057 7.943 4.516
2.171 1.491 6.186
Dy Sc La
6 3 1
Direct
0.901 0.558 0.299
0.242 0.901 0.299
0.066 0.401 0.799
0.558 0.242 0.299
0.734 0.066 0.799
0.401 0.734 0.799
0.638 0.638 0.086
0.160 0.160 0.519
0.399 0.399 0.802
0.900 0.900 0.300

---

(10)
La3Dy3Sc (PBE, optimized geometry); crystal system = orthorhombic; total energy = -136.5 eV/cell; space group = Pnma, No. 62
1.0
-1.174 3.874 -4.001
-9.486 -7.898 -4.863
-8.307 5.311 7.580
Dy La Sc
12 12 4
Direct
0.750 0.757 0.111
0.250 0.026 0.065
0.750 0.974 0.935
0.250 0.007 0.561
0.750 0.493 0.061
0.750 0.993 0.439
0.750 0.474 0.565
0.250 0.743 0.611
0.250 0.507 0.939
0.250 0.526 0.435
0.750 0.257 0.389
0.250 0.243 0.889
0.250 0.358 0.190
0.750 0.142 0.690
0.750 0.209 0.074
0.750 0.709 0.426
0.750 0.880 0.688
0.250 0.291 0.574
0.250 0.791 0.926
0.250 0.858 0.310
0.250 0.120 0.312
0.750 0.380 0.812
0.250 0.620 0.188
0.750 0.642 0.810
0.750 0.490 0.305
0.250 0.010 0.805
0.750 0.990 0.195
0.250 0.510 0.695

---

(11)
LaDy2Sc (PBE, optimized geometry); crystal system = tetragonal; total energy = -20.2 eV/cell; E above lowest polymorph = 2.3 kJ per mole of atoms; space group = P4/mmm, No. 123
1.0
3.534 0.000 0.000
0.000 3.534 0.000
0.000 0.000 9.967
Sc Dy La
1 2 1
Direct
0.500 0.500 0.000
0.000 0.000 0.770
0.000 0.000 0.230
0.500 0.500 0.500

---

(12)
LaDy5Sc3 (PBE, optimized geometry); crystal system = monoclinic; total energy = -83.9 eV/cell; space group = C2/m, No. 12
1.0
-5.789 6.279 1.453
-5.938 -1.162 -6.201
-10.889 -2.359 2.505
Dy La Sc
10 2 6
Direct
0.627 0.096 0.737
0.904 0.373 0.263
0.316 0.316 0.986
0.096 0.627 0.737
0.280 0.720 0.000
0.684 0.684 0.014
0.373 0.904 0.263
0.560 0.560 0.592
0.720 0.280 0.000
0.440 0.440 0.408
0.903 0.903 0.331
0.097 0.097 0.669
0.313 0.313 0.258
0.736 0.736 0.235
0.000 0.000 0.000
0.687 0.687 0.742
0.000 0.000 0.500
0.264 0.264 0.765

---

(13)
LaDy12Sc7 (PBE, optimized geometry); crystal system = trigonal; total energy = -100.9 eV/cell; space group = R-3, No. 148
1.0
9.034 -0.153 -0.230
-2.659 8.635 -0.230
-2.659 -3.538 7.880
Dy Sc La
12 7 1
Direct
0.372 0.814 0.486
0.153 0.943 0.677
0.514 0.628 0.186
0.943 0.677 0.153
0.847 0.057 0.323
0.628 0.186 0.514
0.814 0.486 0.372
0.057 0.323 0.847
0.323 0.847 0.057
0.677 0.153 0.943
0.186 0.514 0.628
0.486 0.372 0.814
0.594 0.762 0.879
0.762 0.879 0.594
0.121 0.406 0.238
0.406 0.238 0.121
0.238 0.121 0.406
0.500 0.500 0.500
0.879 0.594 0.762
0.000 0.000 0.000

---

(14)
La2Dy7Sc2 (PBE, optimized geometry); crystal system = monoclinic; total energy = -52.9 eV/cell; E above lowest polymorph = 0.0 kJ per mole of atoms; space group = C2/m, No. 12
1.0
-4.546 -2.258 -3.217
1.299 -1.083 -8.447
-0.955 -8.561 -0.017
Dy La Sc
7 2 2
Direct
0.371 0.416 0.416
0.629 0.584 0.584
0.000 0.000 0.000
0.834 0.937 0.412
0.166 0.063 0.588
0.834 0.412 0.938
0.166 0.588 0.062
0.170 0.215 0.215
0.830 0.785 0.785
0.500 0.767 0.233
0.500 0.233 0.767

---

(15)
La14DySc (PBE, optimized geometry); crystal system = orthorhombic; total energy = -79.6 eV/cell; space group = Amm2, No. 38
1.0
-3.295 3.636 5.474
4.173 -3.578 4.881
7.223 7.531 -0.655
La Dy Sc
14 1 1
Direct
0.875 0.125 0.500
0.876 0.626 0.000
0.129 0.871 0.246
0.621 0.871 0.246
0.129 0.379 0.246
0.621 0.379 0.245
0.374 0.124 0.000
0.129 0.871 0.754
0.621 0.379 0.755
0.129 0.379 0.754
0.621 0.871 0.754
0.874 0.624 0.500
0.376 0.126 0.500
0.375 0.625 0.500
0.875 0.125 0.000
0.375 0.625 0.000

---

(16)
La8Dy6Sc (PBE, optimized geometry); crystal system = trigonal; total energy = -70.9 eV/cell; space group = P-3, No. 147
1.0
-0.546 -6.622 0.566
1.689 -0.925 -9.191
7.127 -0.065 6.113
Dy La Sc
6 8 1
Direct
0.653 0.901 0.562
0.653 0.438 0.339
0.347 0.099 0.438
0.347 0.562 0.661
0.347 0.339 0.901
0.653 0.661 0.099
0.175 0.760 0.046
0.124 0.667 0.333
0.825 0.240 0.954
0.876 0.333 0.667
0.175 0.286 0.240
0.825 0.714 0.760
0.825 0.046 0.286
0.175 0.954 0.714
0.500 0.000 0.000

---

(17)
La2Dy3Sc (PBE, optimized geometry); crystal system = orthorhombic; total energy = -58.7 eV/cell; E above lowest polymorph = 5.3 kJ per mole of atoms; space group = Pnnm, No. 58
1.0
5.636 0.000 0.000
0.000 9.752 0.000
0.000 0.000 6.998
Dy La Sc
6 4 2
Direct
0.000 0.334 0.751
0.000 0.666 0.249
0.500 0.500 0.500
0.500 0.166 0.251
0.000 0.000 0.000
0.500 0.834 0.749
0.500 0.168 0.747
0.000 0.668 0.753
0.500 0.832 0.253
0.000 0.332 0.247
0.000 0.000 0.500
0.500 0.500 0.000

---

(18)
LaDySc (PBE, optimized geometry); crystal system = monoclinic; total energy = -31.1 eV/cell; E above lowest polymorph = 5.3 kJ per mole of atoms; space group = P2_1/m, No. 11
1.0
-1.054 4.762 -0.821
-3.136 -0.899 -1.187
-2.412 1.277 10.505
Sc Dy La
2 2 2
Direct
0.847 0.784 0.989
0.347 0.206 0.834
0.847 0.630 0.684
0.347 0.360 0.140
0.347 0.043 0.510
0.847 0.947 0.314

---

(19)
LaDySc2 (PBE, optimized geometry); crystal system = orthorhombic; total energy = -21.9 eV/cell; E above lowest polymorph = 0.9 kJ per mole of atoms; space group = Pmm2, No. 25
1.0
0.407 0.533 -3.431
-2.960 -3.664 -0.920
-5.371 4.329 0.038
Dy Sc La
1 2 1
Direct
0.032 0.032 0.082
0.032 0.032 0.553
0.532 0.532 0.325
0.532 0.532 0.812